(A)
Entry from Alexandria via LeMat-Bulk: Ni2PH after structural relaxation (PBE-GGA).

- SG: No. 122

Cell lengths 5.236, 5.236, 5.236 Å; angles 129.29, 129.29, 74.55 degrees
Sites, in units of the cell vectors:
Ni 0.029 0.625 0.904
Ni 0.375 0.279 0.404
Ni 0.721 0.125 0.096
Ni 0.875 0.971 0.596
P 0.250 0.750 0.500
P 0.500 0.500 0.000
H 0.000 0.000 0.000
H 0.750 0.250 0.500

(B)
Entry from Alexandria via LeMat-Bulk: Ni2PH after structural relaxation (PBE-GGA).

- SG: No. 225

Cell lengths 3.766, 3.766, 3.766 Å; angles 60.00, 60.00, 60.00 degrees
Sites, in units of the cell vectors:
Ni 0.250 0.250 0.250
Ni 0.750 0.750 0.750
P 0.000 0.000 0.000
H 0.500 0.500 0.500

Least stable: (B)

(A)
Entry from Alexandria via LeMat-Bulk: PaNiH3 after structural relaxation (PBE-GGA).

- SG: No. 62

Cell lengths 6.223, 4.379, 7.140 Å; angles 90.00, 90.00, 90.00 degrees
Sites, in units of the cell vectors:
Pa 0.246 0.250 0.092
Pa 0.254 0.750 0.592
Pa 0.746 0.250 0.408
Pa 0.754 0.750 0.908
Ni 0.008 0.750 0.231
Ni 0.492 0.250 0.731
Ni 0.508 0.750 0.269
Ni 0.992 0.250 0.769
H 0.080 0.038 0.359
H 0.080 0.462 0.359
H 0.107 0.750 0.010
H 0.393 0.250 0.510
H 0.420 0.538 0.859
H 0.420 0.962 0.859
H 0.580 0.038 0.141
H 0.580 0.462 0.141
H 0.607 0.750 0.490
H 0.893 0.250 0.990
H 0.920 0.538 0.641
H 0.920 0.962 0.641

(B)
Entry from Alexandria via LeMat-Bulk: PaNiH3 after structural relaxation (PBE-GGA).

- SG: No. 74

Cell lengths 8.891, 8.891, 8.891 Å; angles 158.52, 158.29, 30.73 degrees
Sites, in units of the cell vectors:
Pa 0.338 0.088 0.250
Pa 0.662 0.912 0.750
Ni 0.061 0.311 0.750
Ni 0.939 0.689 0.250
H 0.048 0.798 0.250
H 0.213 0.463 0.750
H 0.431 0.681 0.750
H 0.569 0.319 0.250
H 0.787 0.537 0.250
H 0.952 0.202 0.750

Least stable: (B)